Here is an optimized crystal structure of NdAl2Ga from OQMD. Energies are from PBE.

Cell lengths 4.543, 6.532, 11.271 Å; angles 90.00, 90.00, 90.00 degrees
Element x y z (fractional)
Nd (0.000, 0.000, 0.000)
Nd (0.000, 0.500, 0.500)
Nd (0.500, 0.000, 0.332)
Nd (0.500, 0.500, 0.832)
Al (0.000, 0.000, 0.525)
Al (0.000, 0.212, 0.737)
Al (0.000, 0.288, 0.237)
Al (0.000, 0.500, 0.025)
Al (0.000, 0.712, 0.237)
Al (0.000, 0.788, 0.737)
Al (0.500, 0.000, 0.805)
Al (0.500, 0.500, 0.305)
Ga (0.500, 0.214, 0.594)
Ga (0.500, 0.286, 0.094)
Ga (0.500, 0.714, 0.094)
Ga (0.500, 0.786, 0.594)

Values from the calculation:
As for the space-group type: Amm2, No. 38. As for the energy above the most stable polymorph in this dataset: 0 meV per atom.

=====

Here is an optimized crystal structure of LiCuNiS3 from OQMD. Energies are from PBE.

Cell lengths 5.937, 5.937, 9.319 Å; angles 90.00, 90.00, 146.53 degrees
Element x y z (fractional)
Li (0.232, 0.768, 0.750)
Li (0.768, 0.232, 0.250)
Cu (0.067, 0.933, 0.250)
Cu (0.933, 0.067, 0.750)
Ni (0.500, 0.500, 0.000)
Ni (0.500, 0.500, 0.500)
S (0.135, 0.865, 0.028)
S (0.135, 0.865, 0.472)
S (0.433, 0.567, 0.250)
S (0.567, 0.433, 0.750)
S (0.865, 0.135, 0.528)
S (0.865, 0.135, 0.972)

Values from the calculation:
As for the space-group type: Cmcm, No. 63.

=====

Here is an optimized crystal structure of UTlCu from OQMD. Energies are from PBE.

Cell lengths 6.524, 6.524, 6.524 Å; angles 90.00, 90.00, 90.00 degrees
Element x y z (fractional)
U (0.000, 0.000, 0.000)
U (0.000, 0.500, 0.500)
U (0.500, 0.000, 0.500)
U (0.500, 0.500, 0.000)
Tl (0.000, 0.000, 0.500)
Tl (0.000, 0.500, 0.000)
Tl (0.500, 0.000, 0.000)
Tl (0.500, 0.500, 0.500)
Cu (0.250, 0.250, 0.750)
Cu (0.250, 0.750, 0.250)
Cu (0.750, 0.250, 0.250)
Cu (0.750, 0.750, 0.750)

Values from the calculation:
As for the space-group type: F-43m, No. 216.

=====

Here is an optimized crystal structure of YHfFe2 from OQMD. Energies are from PBE.

Cell lengths 6.351, 6.351, 6.351 Å; angles 90.00, 90.00, 90.00 degrees
Element x y z (fractional)
Y (0.000, 0.000, 0.000)
Y (0.000, 0.500, 0.500)
Y (0.500, 0.000, 0.500)
Y (0.500, 0.500, 0.000)
Hf (0.250, 0.250, 0.250)
Hf (0.250, 0.750, 0.750)
Hf (0.750, 0.250, 0.750)
Hf (0.750, 0.750, 0.250)
Fe (0.000, 0.000, 0.500)
Fe (0.000, 0.500, 0.000)
Fe (0.250, 0.250, 0.750)
Fe (0.250, 0.750, 0.250)
Fe (0.500, 0.000, 0.000)
Fe (0.500, 0.500, 0.500)
Fe (0.750, 0.250, 0.250)
Fe (0.750, 0.750, 0.750)

Values from the calculation:
Its energy relative to the elements is 1.51 eV/f.u. As for the space-group type: F-43m, No. 216.

=====

Here is an optimized crystal structure of Er2MgGe4O12 from OQMD. Energies are from PBE.

Cell lengths 4.886, 7.025, 7.854 Å; angles 66.86, 88.33, 80.23 degrees
Element x y z (fractional)
Er (0.051, 0.267, 0.458)
Er (0.949, 0.733, 0.542)
Mg (0.000, 0.500, 0.000)
Ge (0.418, 0.867, 0.792)
Ge (0.462, 0.659, 0.222)
Ge (0.538, 0.341, 0.778)
Ge (0.582, 0.133, 0.208)
O (0.227, 0.567, 0.393)
O (0.230, 0.924, 0.588)
O (0.249, 0.516, 0.790)
O (0.250, 0.270, 0.198)
O (0.251, 0.764, 0.009)
O (0.392, 0.146, 0.738)
O (0.608, 0.854, 0.262)
O (0.749, 0.236, 0.991)
O (0.750, 0.730, 0.802)
O (0.751, 0.484, 0.210)
O (0.770, 0.076, 0.412)
O (0.773, 0.433, 0.607)

Values from the calculation:
As for the space-group type: P-1, No. 2.

=====

Here is an optimized crystal structure of Li8Au3 from OQMD. Energies are from PBE.

Cell lengths 7.458, 7.534, 7.540 Å; angles 70.40, 78.10, 61.11 degrees
Element x y z (fractional)
Li (0.001, 0.389, 0.361)
Li (0.036, 0.120, 0.112)
Li (0.098, 0.173, 0.708)
Li (0.309, 0.487, 0.122)
Li (0.322, 0.664, 0.706)
Li (0.323, 0.725, 0.332)
Li (0.349, 0.216, 0.895)
Li (0.391, 0.058, 0.342)
Li (0.609, 0.942, 0.658)
Li (0.651, 0.784, 0.105)
Li (0.677, 0.275, 0.668)
Li (0.678, 0.336, 0.294)
Li (0.691, 0.513, 0.878)
Li (0.902, 0.827, 0.292)
Li (0.964, 0.880, 0.888)
Li (0.999, 0.611, 0.639)
Au (0.000, 0.000, 0.500)
Au (0.000, 0.500, 0.000)
Au (0.337, 0.352, 0.507)
Au (0.338, 0.840, 0.956)
Au (0.662, 0.160, 0.044)
Au (0.663, 0.648, 0.493)

Values from the calculation:
As for the space-group type: P-1, No. 2. As for the energy above the most stable polymorph in this dataset: 4 meV per atom.

=====

Here is an optimized crystal structure of Cu7Ag3 from OQMD. Energies are from PBE.

Cell lengths 2.765, 3.492, 14.128 Å; angles 90.00, 90.00, 90.00 degrees
Element x y z (fractional)
Cu (0.000, 0.000, 0.000)
Cu (0.000, 0.000, 0.215)
Cu (0.000, 0.000, 0.392)
Cu (0.000, 0.000, 0.608)
Cu (0.000, 0.000, 0.785)
Cu (0.500, 0.500, 0.304)
Cu (0.500, 0.500, 0.696)
Ag (0.500, 0.500, 0.107)
Ag (0.500, 0.500, 0.500)
Ag (0.500, 0.500, 0.893)

Values from the calculation:
Its energy relative to the elements is 0.83 eV/f.u. As for the space-group type: Pmmm, No. 47. As for the energy above the most stable polymorph in this dataset: 38 meV per atom.

=====

Here is an optimized crystal structure of NbZnPb2 from OQMD. Energies are from PBE.

Cell lengths 7.290, 7.290, 7.290 Å; angles 90.00, 90.00, 90.00 degrees
Element x y z (fractional)
Nb (0.000, 0.000, 0.000)
Nb (0.000, 0.500, 0.500)
Nb (0.500, 0.000, 0.500)
Nb (0.500, 0.500, 0.000)
Zn (0.250, 0.250, 0.250)
Zn (0.250, 0.750, 0.750)
Zn (0.750, 0.250, 0.750)
Zn (0.750, 0.750, 0.250)
Pb (0.000, 0.000, 0.500)
Pb (0.000, 0.500, 0.000)
Pb (0.250, 0.250, 0.750)
Pb (0.250, 0.750, 0.250)
Pb (0.500, 0.000, 0.000)
Pb (0.500, 0.500, 0.500)
Pb (0.750, 0.250, 0.250)
Pb (0.750, 0.750, 0.750)

Values from the calculation:
As for the space-group type: F-43m, No. 216.

=====

Here is an optimized crystal structure of AcPuZn from OQMD. Energies are from PBE.

Cell lengths 7.226, 7.226, 7.226 Å; angles 90.00, 90.00, 90.00 degrees
Element x y z (fractional)
Ac (0.000, 0.000, 0.000)
Ac (0.000, 0.500, 0.500)
Ac (0.500, 0.000, 0.500)
Ac (0.500, 0.500, 0.000)
Pu (0.250, 0.250, 0.750)
Pu (0.250, 0.750, 0.250)
Pu (0.750, 0.250, 0.250)
Pu (0.750, 0.750, 0.750)
Zn (0.250, 0.250, 0.250)
Zn (0.250, 0.750, 0.750)
Zn (0.750, 0.250, 0.750)
Zn (0.750, 0.750, 0.250)

Values from the calculation:
Its energy relative to the elements is 1.89 eV/f.u. As for the space-group type: F-43m, No. 216. As for the energy above the most stable polymorph in this dataset: 423 meV per atom.

=====

Here is an optimized crystal structure of TbDyGe2Au2 from OQMD. Energies are from PBE.

Cell lengths 4.482, 4.482, 7.328 Å; angles 90.00, 90.00, 120.00 degrees
Element x y z (fractional)
Tb (0.000, 0.000, 0.000)
Dy (0.000, 0.000, 0.500)
Ge (0.333, 0.667, 0.707)
Ge (0.667, 0.333, 0.209)
Au (0.333, 0.667, 0.292)
Au (0.667, 0.333, 0.787)

Values from the calculation:
As for the space-group type: P3m1, No. 156.

=====

Here is an optimized crystal structure of SrCd2Ga2 from OQMD. Energies are from PBE.

Cell lengths 4.648, 4.648, 11.474 Å; angles 90.00, 90.00, 90.00 degrees
Element x y z (fractional)
Sr (0.000, 0.000, 0.000)
Sr (0.500, 0.500, 0.500)
Cd (0.000, 0.000, 0.379)
Cd (0.000, 0.000, 0.621)
Cd (0.500, 0.500, 0.121)
Cd (0.500, 0.500, 0.879)
Ga (0.000, 0.500, 0.250)
Ga (0.000, 0.500, 0.750)
Ga (0.500, 0.000, 0.250)
Ga (0.500, 0.000, 0.750)

Values from the calculation:
As for the space-group type: I4/mmm, No. 139. As for the energy above the most stable polymorph in this dataset: 87 meV per atom.

=====

Here is an optimized crystal structure of RbDyZr from OQMD. Energies are from PBE.

Cell lengths 8.200, 8.200, 8.200 Å; angles 90.00, 90.00, 90.00 degrees
Element x y z (fractional)
Rb (0.000, 0.000, 0.000)
Rb (0.000, 0.500, 0.500)
Rb (0.500, 0.000, 0.500)
Rb (0.500, 0.500, 0.000)
Dy (0.000, 0.000, 0.500)
Dy (0.000, 0.500, 0.000)
Dy (0.500, 0.000, 0.000)
Dy (0.500, 0.500, 0.500)
Zr (0.250, 0.250, 0.750)
Zr (0.250, 0.750, 0.250)
Zr (0.750, 0.250, 0.250)
Zr (0.750, 0.750, 0.750)

Values from the calculation:
As for the space-group type: F-43m, No. 216. As for the energy above the most stable polymorph in this dataset: 0 meV per atom.

=====

How do the records compare in total energy? In the order shown, they have -4.3148; -4.2915; -5.3231; -7.8826; -6.9987; -2.6904; -3.3663; -4.0298; -5.8689; -5.0056; -2.1753; -3.2015 eV per atom.